Record 1
3
Lattice="-1.393 1.832 4.379 1.393 -1.832 4.379 1.393 1.832 -4.379" Properties=species:S:1:pos:R:3 comment="CdCuIr | the Alexandria database | SCAN | PBEsol geometry" final_energy_ev_per_cell=-115.990 ef_ev_per_atom=0.24 dos_at_fermi_per_ev_cell=2.25 pbc="T T T"
Cd 0.000 0.000 0.000
Cu 0.000 0.000 5.939
Ir 0.000 0.000 2.770

=====

Record 2
5
Lattice="3.837 0.000 0.000 0.000 3.837 0.000 0.000 0.000 3.837" Properties=species:S:1:pos:R:3 comment="Li3ClO | the Alexandria database | SCAN | PBEsol geometry" final_energy_ev_per_cell=-31.377 dos_at_fermi_per_ev_cell=0.00 raw_formation_energy_ev_per_fu=-10.0 pbc="T T T"
Li 0.000 0.000 1.919
Li 0.000 1.919 0.000
Li 1.919 0.000 0.000
Cl 1.919 1.919 1.919
O 0.000 0.000 0.000

=====

Record 3
4
Lattice="2.714 0.000 0.000 0.000 3.797 0.000 0.000 0.000 5.361" Properties=species:S:1:pos:R:3 comment="CuPt2Rh | the Alexandria database | SCAN | PBEsol geometry" final_energy_ev_per_cell=-189.701 ef_ev_per_atom=-0.09 dos_at_fermi_per_ev_cell=4.29 pbc="T T T"
Cu 0.000 0.000 0.000
Pt 1.357 1.899 1.328
Pt 1.357 1.899 4.033
Rh 0.000 0.000 2.680

=====

Record 4
3
Lattice="0.000 3.254 3.254 3.254 0.000 3.254 3.254 3.254 0.000" Properties=species:S:1:pos:R:3 comment="SiTeP | the Alexandria database | SCAN | PBEsol geometry" final_energy_ev_per_cell=-54.623 dos_at_fermi_per_ev_cell=1.65 raw_formation_energy_ev_per_fu=3.0 pbc="T T T"
Si 0.000 0.000 0.000
Te 1.627 1.627 1.627
P 3.254 3.254 3.254

=====

Record 5
4
Lattice="1.447 0.835 7.905 -1.447 0.835 7.905 0.000 -1.671 7.905" Properties=species:S:1:pos:R:3 comment="AlTlCo2 | the Alexandria database | SCAN | PBEsol geometry" final_energy_ev_per_cell=-113.279 ef_ev_per_atom=0.36 dos_at_fermi_per_ev_cell=1.62 pbc="T T T"
Al 0.000 0.000 0.000
Tl 0.000 0.000 11.858
Co 0.000 0.000 6.091
Co 0.000 0.000 17.625

=====

Record 6
6
Lattice="0.000 3.842 3.842 3.842 0.000 3.842 3.842 3.842 0.000" Properties=species:S:1:pos:R:3 comment="LiInAg4 | the Alexandria database | SCAN | PBEsol geometry" final_energy_ev_per_cell=-161.435 ef_ev_per_atom=-0.03 dos_at_fermi_per_ev_cell=2.17 pbc="T T T"
Li 0.000 0.000 0.000
In 1.921 1.921 1.921
Ag 4.803 2.881 2.881
Ag 2.881 4.803 2.881
Ag 2.881 2.881 4.803
Ag 4.803 4.803 4.803

=====

Record 7
4
Lattice="0.000 3.259 3.259 3.259 0.000 3.259 3.259 3.259 0.000" Properties=species:S:1:pos:R:3 comment="CdAg2Au | the Alexandria database | SCAN | PBEsol geometry" final_energy_ev_per_cell=-162.780 ef_ev_per_atom=-0.12 dos_at_fermi_per_ev_cell=0.66 pbc="T T T"
Cd 0.000 0.000 0.000
Ag 3.259 3.259 3.259
Ag 4.889 4.889 4.889
Au 1.630 1.630 1.630

=====

Record 8
24
Lattice="5.592 -3.674 0.000 5.592 3.674 0.000 -4.486 0.000 8.318" Properties=species:S:1:pos:R:3 comment="KAuS2O8 | the Alexandria database | SCAN | PBEsol geometry" final_energy_ev_per_cell=-327.205 dos_at_fermi_per_ev_cell=0.00 raw_formation_energy_ev_per_fu=-17.0 pbc="T T T"
K 2.227 3.540 6.239
K 4.470 -3.540 2.080
Au 5.592 0.000 0.000
Au 3.349 0.000 4.159
S 2.751 0.133 1.162
S 0.508 -0.133 5.322
S 6.190 0.133 2.997
S 3.947 -0.133 7.156
O -0.843 0.089 4.860
O 3.134 1.477 1.505
O 1.400 -0.089 0.701
O 1.398 0.458 4.197
O 0.810 0.819 6.519
O 3.641 -0.458 0.038
O 5.807 1.477 2.654
O 3.053 -0.819 2.360
O 3.644 0.819 5.958
O 0.891 -1.477 5.664
O 3.057 0.458 8.281
O 5.888 -0.819 1.799
O 5.300 -0.458 4.121
O 5.298 0.089 7.617
O 3.564 -1.477 6.813
O 7.541 -0.089 3.458

=====

Record 9
4
Lattice="2.916 0.000 0.000 0.000 4.033 0.000 0.000 0.000 5.738" Properties=species:S:1:pos:R:3 comment="TlCoAg2 | the Alexandria database | SCAN | PBEsol geometry" final_energy_ev_per_cell=-150.501 ef_ev_per_atom=0.47 dos_at_fermi_per_ev_cell=2.76 pbc="T T T"
Tl 0.000 0.000 0.000
Co 0.000 0.000 2.869
Ag 1.458 2.017 1.563
Ag 1.458 2.017 4.175

=====

Record 10
4
Lattice="1.502 -2.403 0.000 1.502 2.403 0.000 0.000 0.000 8.669" Properties=species:S:1:pos:R:3 comment="TlZnRu2 | the Alexandria database | SCAN | PBEsol geometry" final_energy_ev_per_cell=-153.101 ef_ev_per_atom=0.61 dos_at_fermi_per_ev_cell=3.16 pbc="T T T"
Tl 0.000 0.000 0.000
Zn 0.000 0.000 4.335
Ru 1.502 0.000 2.303
Ru 1.502 0.000 6.366

=====

Record 11
5
Lattice="4.855 0.000 0.000 0.000 4.855 0.000 0.000 0.000 4.301" Properties=species:S:1:pos:R:3 comment="CuPdAu2Se | the Alexandria database | SCAN | PBEsol geometry" final_energy_ev_per_cell=-203.339 dos_at_fermi_per_ev_cell=1.52 raw_formation_energy_ev_per_fu=3.0 pbc="T T T"
Cu 0.000 0.000 0.000
Pd 2.427 2.427 0.000
Au 0.000 2.427 2.151
Au 2.427 0.000 2.151
Se 0.000 0.000 2.151

=====

Record 12
5
Lattice="4.858 0.000 0.000 0.000 4.858 0.000 0.000 0.000 4.858" Properties=species:S:1:pos:R:3 comment="CrAu3Cl | the Alexandria database | SCAN | PBEsol geometry" final_energy_ev_per_cell=-229.555 dos_at_fermi_per_ev_cell=5.41 raw_formation_energy_ev_per_fu=4.3 pbc="T T T"
Cr 0.000 0.000 0.000
Au 0.000 0.000 2.429
Au 0.000 2.429 0.000
Au 2.429 0.000 0.000
Cl 2.429 2.429 2.429

=====

Record 13
4
Lattice="4.203 0.000 0.000 0.000 3.751 0.000 -0.006 0.000 5.048" Properties=species:S:1:pos:R:3 comment="LaCuP2 | the Alexandria database | SCAN | PBEsol geometry" final_energy_ev_per_cell=-82.314 ef_ev_per_atom=-0.80 dos_at_fermi_per_ev_cell=1.44 pbc="T T T"
La 0.000 0.000 0.000
Cu 2.099 0.000 2.524
P 2.094 1.876 3.912
P 2.103 1.876 1.136

=====

Record 14
14
Lattice="2.571 -4.516 0.000 2.571 4.516 0.000 -0.124 0.000 8.512" Properties=species:S:1:pos:R:3 comment="LiFePO4 | the Alexandria database | SCAN | PBEsol geometry" final_energy_ev_per_cell=-142.282 raw_formation_energy_ev_per_fu=-15.3 pbc="T T T"
Li 2.509 3.053 4.256
Li 2.571 -3.053 0.000
Fe 2.541 1.473 6.846
Fe 2.603 -1.473 2.590
P 2.665 1.671 1.530
P 2.603 -1.671 5.786
O 1.127 1.834 1.439
O 3.222 2.709 2.550
O 1.064 -1.834 5.695
O 3.309 1.965 0.142
O 3.056 0.257 1.958
O 2.994 -0.257 6.214
O 3.247 -1.965 4.398
O 3.160 -2.709 6.806

=====

Record 15
4
Lattice="2.935 0.000 0.000 0.000 3.874 0.000 0.000 0.000 5.566" Properties=species:S:1:pos:R:3 comment="Mg2SiPt | the Alexandria database | SCAN | PBEsol geometry" final_energy_ev_per_cell=-92.157 dos_at_fermi_per_ev_cell=1.29 raw_formation_energy_ev_per_fu=-2.0 pbc="T T T"
Mg 0.000 0.000 1.356
Mg 0.000 0.000 4.210
Si 1.468 1.937 2.783
Pt 1.468 1.937 0.000

=====

Record 16
5
Lattice="5.319 0.000 0.000 0.000 5.319 0.000 0.000 0.000 5.319" Properties=species:S:1:pos:R:3 comment="RbAl3Pt | the Alexandria database | SCAN | PBEsol geometry" final_energy_ev_per_cell=-102.348 ef_ev_per_atom=2.37 dos_at_fermi_per_ev_cell=4.52 pbc="T T T"
Rb 0.000 0.000 0.000
Al 0.000 0.000 2.659
Al 0.000 2.659 0.000
Al 2.659 0.000 0.000
Pt 2.659 2.659 2.659

=====

Record 17
5
Lattice="-2.046 2.046 9.801 2.046 -2.046 9.801 2.046 2.046 -9.801" Properties=species:S:1:pos:R:3 comment="KSr2H2 | the Alexandria database | SCAN | PBEsol geometry" final_energy_ev_per_cell=-61.468 dos_at_fermi_per_ev_cell=1.83 pbc="T T T"
K 0.000 0.000 0.000
Sr 0.000 0.000 6.215
Sr 0.000 0.000 13.386
H 2.046 0.000 4.900
H 0.000 2.046 4.900

=====

Record 18
5
Lattice="4.925 0.000 0.000 0.000 4.925 0.000 0.000 0.000 4.007" Properties=species:S:1:pos:R:3 comment="SrNiAu2F | the Alexandria database | SCAN | PBEsol geometry" final_energy_ev_per_cell=-184.983 dos_at_fermi_per_ev_cell=1.07 raw_formation_energy_ev_per_fu=-4.7 pbc="T T T"
Sr 0.000 0.000 0.000
Ni 2.463 2.463 2.004
Au 0.000 2.463 2.004
Au 2.463 0.000 2.004
F 2.463 2.463 0.000

=====

Record 19
4
Lattice="4.820 0.000 0.000 0.000 4.820 0.000 0.000 0.000 3.912" Properties=species:S:1:pos:R:3 comment="Ca2TeRh | the Alexandria database | SCAN | PBEsol geometry" final_energy_ev_per_cell=-93.250 dos_at_fermi_per_ev_cell=1.62 raw_formation_energy_ev_per_fu=-2.9 pbc="T T T"
Ca 0.000 2.410 0.000
Ca 2.410 0.000 0.000
Te 0.000 0.000 1.956
Rh 2.410 2.410 1.956

=====

Record 20
5
Lattice="4.579 0.000 0.000 0.000 4.579 0.000 0.000 0.000 5.205" Properties=species:S:1:pos:R:3 comment="SrZnNF2 | the Alexandria database | SCAN | PBEsol geometry" final_energy_ev_per_cell=-57.250 dos_at_fermi_per_ev_cell=0.85 raw_formation_energy_ev_per_fu=-5.1 pbc="T T T"
Sr 0.000 0.000 0.000
Zn 2.290 2.290 2.602
N 0.000 0.000 2.602
F 0.000 2.290 0.000
F 2.290 0.000 0.000